Record 1
Ca3P: PBEsol geometry, SCAN.

Calculated values
Calculated total energy in eV for the cell shown: -84.2
E_form in meV/atom: -674
Excess energy over the best structure of this formula in the dataset in kJ/mol of formula units: 20

Geometry as CIF:
```
data_Ca3P
_cell_length_a 3.8996
_cell_length_b 6.7309
_cell_length_c 9.4889
_cell_angle_alpha 90.00
_cell_angle_beta 90.00
_cell_angle_gamma 90.00
_space_group_name_H-M_alt 'P m m n'
_space_group_IT_number 59
loop_
_space_group_symop_operation_xyz
'x,y,z'
'-x,-y,-z'
'-x+1/2,-y+1/2,z'
'x+1/2,y+1/2,-z'
'x+1/2,-y,-z'
'-x+1/2,y,z'
'-x,y+1/2,-z'
'x,-y+1/2,z'
loop_
_atom_site_label
_atom_site_fract_x
_atom_site_fract_y
_atom_site_fract_z
Ca1 0.2500 0.0118 0.1744
Ca2 0.2500 0.2500 0.5383
P1 0.2500 0.7500 0.6751
```

---

Record 2
CaP3Pb: PBEsol geometry, SCAN.

Calculated values
Calculated total energy in eV for the cell shown: -113.2
E_form in meV/atom: 681

Geometry as CIF:
```
data_CaP3Pb
_cell_length_a 5.1226
_cell_length_b 5.1226
_cell_length_c 5.1226
_cell_angle_alpha 90.00
_cell_angle_beta 90.00
_cell_angle_gamma 90.00
_space_group_name_H-M_alt 'P m -3 m'
_space_group_IT_number 221
_space_group_name_Hall '-P 4 2 3'
loop_
_atom_site_label
_atom_site_fract_x
_atom_site_fract_y
_atom_site_fract_z
Ca1 0.0000 0.0000 0.0000
P1 0.0000 0.5000 0.5000
Pb1 0.5000 0.5000 0.5000
```

---

Record 3
CaPPb3: PBEsol geometry, SCAN.

Calculated values
Calculated total energy in eV for the cell shown: -246.5
E_form in meV/atom: 172
Excess energy over the best structure of this formula in the dataset in kJ/mol of formula units: 0

Geometry as CIF:
```
data_CaPPb3
_cell_length_a 5.4112
_cell_length_b 5.4112
_cell_length_c 5.4112
_cell_angle_alpha 90.00
_cell_angle_beta 90.00
_cell_angle_gamma 90.00
_space_group_name_H-M_alt 'P m -3 m'
_space_group_IT_number 221
_space_group_name_Hall '-P 4 2 3'
loop_
_atom_site_label
_atom_site_fract_x
_atom_site_fract_y
_atom_site_fract_z
Ca1 0.0000 0.0000 0.0000
P1 0.5000 0.5000 0.5000
Pb1 0.0000 0.5000 0.5000
```

---

Record 4
Ca4PPb: PBEsol geometry, SCAN.

Calculated values
Calculated total energy in eV for the cell shown: -493.7
E_form in meV/atom: 233

Geometry as CIF:
```
data_Ca4PPb
_cell_length_a 8.8502
_cell_length_b 8.8502
_cell_length_c 8.8502
_cell_angle_alpha 90.00
_cell_angle_beta 90.00
_cell_angle_gamma 90.00
_space_group_name_H-M_alt 'F -4 3 m'
_space_group_IT_number 216
_space_group_name_Hall 'F -4 2 3'
loop_
_atom_site_label
_atom_site_fract_x
_atom_site_fract_y
_atom_site_fract_z
Ca1 0.1254 0.1254 0.1254
P1 0.0000 0.0000 0.5000
Pb1 0.2500 0.2500 0.7500
```

---

Record 5
CaPPb: PBEsol geometry, SCAN.

Calculated values
Calculated total energy in eV for the cell shown: -193.9
E_form in meV/atom: -361

Geometry as CIF:
```
data_CaPPb
_cell_length_a 3.6418
_cell_length_b 3.6418
_cell_length_c 10.9063
_cell_angle_alpha 90.00
_cell_angle_beta 90.00
_cell_angle_gamma 90.00
_space_group_name_H-M_alt 'I 4 m m'
_space_group_IT_number 107
_space_group_name_Hall 'I 4 -2'
loop_
_atom_site_label
_atom_site_fract_x
_atom_site_fract_y
_atom_site_fract_z
Ca1 0.0000 0.0000 0.0000
P1 0.0000 0.0000 0.6508
Pb1 0.0000 0.0000 0.2802
```

---

Record 6
CaPPb: PBEsol geometry, SCAN.

Calculated values
Calculated total energy in eV for the cell shown: -97.1
E_form in meV/atom: -432

Geometry as CIF:
```
data_CaPPb
_cell_length_a 4.1084
_cell_length_b 4.1084
_cell_length_c 5.7621
_cell_angle_alpha 90.00
_cell_angle_beta 90.00
_cell_angle_gamma 120.00
_space_group_name_H-M_alt 'P 3 m 1'
_space_group_IT_number 156
_space_group_name_Hall 'P 3 -2"'
loop_
_atom_site_label
_atom_site_fract_x
_atom_site_fract_y
_atom_site_fract_z
Ca1 0.0000 0.0000 0.0000
P1 0.6667 0.3333 0.7484
Pb1 0.3333 0.6667 0.4784
```

---

Record 7
CaP2Pb2: PBEsol geometry, SCAN.

Calculated values
Calculated total energy in eV for the cell shown: -364.8
E_form in meV/atom: -75

Geometry as CIF:
```
data_CaP2Pb2
_cell_length_a 5.3183
_cell_length_b 5.3183
_cell_length_c 9.3561
_cell_angle_alpha 90.00
_cell_angle_beta 90.00
_cell_angle_gamma 90.00
_space_group_name_H-M_alt 'I 4/m m m'
_space_group_IT_number 139
_space_group_name_Hall '-I 4 2'
loop_
_atom_site_label
_atom_site_fract_x
_atom_site_fract_y
_atom_site_fract_z
Ca1 0.0000 0.0000 0.0000
P1 0.0000 0.5000 0.2500
Pb1 0.0000 0.0000 0.3392
```

---

Record 8
CaPPb3: PBEsol geometry, SCAN.

Calculated values
Calculated total energy in eV for the cell shown: -242.1
E_form in meV/atom: 1060
Excess energy over the best structure of this formula in the dataset in kJ/mol of formula units: 428

Geometry as CIF:
```
data_CaPPb3
_cell_length_a 5.6640
_cell_length_b 5.6640
_cell_length_c 5.6640
_cell_angle_alpha 90.00
_cell_angle_beta 90.00
_cell_angle_gamma 90.00
_space_group_name_H-M_alt 'P m -3 m'
_space_group_IT_number 221
_space_group_name_Hall '-P 4 2 3'
loop_
_atom_site_label
_atom_site_fract_x
_atom_site_fract_y
_atom_site_fract_z
Ca1 0.0000 0.0000 0.0000
P1 0.5000 0.5000 0.5000
Pb1 0.0000 0.0000 0.5000
```

---

Record 9
CaPPbS2: PBEsol geometry, SCAN.

Calculated values
Calculated total energy in eV for the cell shown: -115.3
Energy relative to the elements, uncorrected in eV/f.u.: -0.16

Geometry as CIF:
```
data_CaPPbS2
_cell_length_a 5.1522
_cell_length_b 5.1522
_cell_length_c 5.0351
_cell_angle_alpha 90.00
_cell_angle_beta 90.00
_cell_angle_gamma 90.00
_space_group_name_H-M_alt 'P 4/m m m'
_space_group_IT_number 123
_space_group_name_Hall '-P 4 2'
loop_
_atom_site_label
_atom_site_fract_x
_atom_site_fract_y
_atom_site_fract_z
Ca1 0.0000 0.0000 0.0000
P1 0.5000 0.5000 0.0000
Pb1 0.5000 0.5000 0.5000
S1 0.0000 0.5000 0.5000
```

---

Record 10
Ca2PPbSe: PBEsol geometry, SCAN.

Calculated values
Calculated total energy in eV for the cell shown: -127.6
Energy relative to the elements, uncorrected in eV/f.u.: -2.00

Geometry as CIF:
```
data_Ca2PPbSe
_cell_length_a 5.3557
_cell_length_b 5.3557
_cell_length_c 5.4916
_cell_angle_alpha 90.00
_cell_angle_beta 90.00
_cell_angle_gamma 90.00
_space_group_name_H-M_alt 'P 4/m m m'
_space_group_IT_number 123
_space_group_name_Hall '-P 4 2'
loop_
_atom_site_label
_atom_site_fract_x
_atom_site_fract_y
_atom_site_fract_z
Ca1 0.0000 0.5000 0.0000
P1 0.0000 0.0000 0.5000
Pb1 0.5000 0.5000 0.5000
Se1 0.5000 0.5000 0.0000
```

---

Record 11
Ca2PPt: PBEsol geometry, SCAN.

Calculated values
Calculated total energy in eV for the cell shown: -103.7
E_form in meV/atom: -945
Excess energy over the best structure of this formula in the dataset in kJ/mol of formula units: 73

Geometry as CIF:
```
data_Ca2PPt
_cell_length_a 3.1909
_cell_length_b 5.0418
_cell_length_c 5.0474
_cell_angle_alpha 90.00
_cell_angle_beta 90.00
_cell_angle_gamma 90.00
_space_group_name_H-M_alt 'P m m 2'
_space_group_IT_number 25
_space_group_name_Hall 'P 2 -2'
loop_
_atom_site_label
_atom_site_fract_x
_atom_site_fract_y
_atom_site_fract_z
Ca1 0.0000 0.0000 0.0000
Ca2 0.0000 0.5000 0.4866
P1 0.5000 0.5000 0.9833
Pt1 0.5000 0.0000 0.5042
```

---

Record 12
CaPPt2: PBEsol geometry, SCAN.

Calculated values
Calculated total energy in eV for the cell shown: -323.8
E_form in meV/atom: -361

Geometry as CIF:
```
data_CaPPt2
_cell_length_a 5.5965
_cell_length_b 9.6282
_cell_length_c 2.8189
_cell_angle_alpha 90.00
_cell_angle_beta 120.13
_cell_angle_gamma 90.00
_space_group_name_H-M_alt 'C 1 2/m 1'
_space_group_IT_number 12
_space_group_name_Hall '-C 2y'
loop_
_atom_site_label
_atom_site_fract_x
_atom_site_fract_y
_atom_site_fract_z
Ca1 0.0000 0.0000 0.0000
P1 0.0000 0.5000 0.0000
Pt1 0.2500 0.2500 0.0000
```

---

Record 13
Ca2PPt: PBEsol geometry, SCAN.

Calculated values
Calculated total energy in eV for the cell shown: -408.4
E_form in meV/atom: -548
Excess energy over the best structure of this formula in the dataset in kJ/mol of formula units: 226

Geometry as CIF:
```
data_Ca2PPt
_cell_length_a 6.7397
_cell_length_b 6.7397
_cell_length_c 6.7397
_cell_angle_alpha 90.00
_cell_angle_beta 90.00
_cell_angle_gamma 90.00
_space_group_name_H-M_alt 'F -4 3 m'
_space_group_IT_number 216
_space_group_name_Hall 'F -4 2 3'
loop_
_atom_site_label
_atom_site_fract_x
_atom_site_fract_y
_atom_site_fract_z
Ca1 0.0000 0.0000 0.0000
Ca2 0.2500 0.2500 0.2500
P1 0.2500 0.2500 0.7500
Pt1 0.0000 0.0000 0.5000
```

---

Record 14
CaP2Pt: PBEsol geometry, SCAN.

Calculated values
Calculated total energy in eV for the cell shown: -204.9
E_form in meV/atom: -451
Excess energy over the best structure of this formula in the dataset in kJ/mol of formula units: 230

Geometry as CIF:
```
data_CaP2Pt
_cell_length_a 4.0103
_cell_length_b 6.3071
_cell_length_c 6.2423
_cell_angle_alpha 90.00
_cell_angle_beta 90.00
_cell_angle_gamma 90.00
_space_group_name_H-M_alt 'C m m m'
_space_group_IT_number 65
_space_group_name_Hall '-C 2 2'
loop_
_atom_site_label
_atom_site_fract_x
_atom_site_fract_y
_atom_site_fract_z
Ca1 0.0000 0.0000 0.0000
P1 0.0000 0.5000 0.3021
Pt1 0.0000 0.0000 0.5000
```

---

Record 15
CaP2Pt: PBEsol geometry, SCAN.

Calculated values
Calculated total energy in eV for the cell shown: -104.8
E_form in meV/atom: -1047
Excess energy over the best structure of this formula in the dataset in kJ/mol of formula units: 0

Geometry as CIF:
```
data_CaP2Pt
_cell_length_a 4.4465
_cell_length_b 3.8594
_cell_length_c 4.5441
_cell_angle_alpha 90.00
_cell_angle_beta 95.55
_cell_angle_gamma 90.00
_space_group_name_H-M_alt 'P 1 2/m 1'
_space_group_IT_number 10
_space_group_name_Hall '-P 2y'
loop_
_atom_site_label
_atom_site_fract_x
_atom_site_fract_y
_atom_site_fract_z
Ca1 0.0000 0.0000 0.0000
P1 0.2305 0.5000 0.6234
Pt1 0.5000 0.0000 0.5000
```

---

Record 16
Ca2PPt: PBEsol geometry, SCAN.

Calculated values
Calculated total energy in eV for the cell shown: -208.9
E_form in meV/atom: -1135
Excess energy over the best structure of this formula in the dataset in kJ/mol of formula units: 0

Geometry as CIF:
```
data_Ca2PPt
_cell_length_a 4.2785
_cell_length_b 4.2836
_cell_length_c 9.7599
_cell_angle_alpha 90.00
_cell_angle_beta 90.00
_cell_angle_gamma 90.00
_space_group_name_H-M_alt 'A m m 2'
_space_group_IT_number 38
_space_group_name_Hall 'A 2 -2'
loop_
_atom_site_label
_atom_site_fract_x
_atom_site_fract_y
_atom_site_fract_z
Ca1 0.0000 0.0000 0.0000
Ca2 0.5000 0.0000 0.2907
P1 0.0000 0.0000 0.6970
Pt1 0.5000 0.0000 0.5911
```

---

Record 17
CaP2Pt: PBEsol geometry, SCAN.

Calculated values
Calculated total energy in eV for the cell shown: -419.1
E_form in meV/atom: -1027
Excess energy over the best structure of this formula in the dataset in kJ/mol of formula units: 8

Geometry as CIF:
```
data_CaP2Pt
_cell_length_a 3.8061
_cell_length_b 11.3905
_cell_length_c 6.8577
_cell_angle_alpha 90.00
_cell_angle_beta 90.00
_cell_angle_gamma 90.00
_space_group_name_H-M_alt 'C m c m'
_space_group_IT_number 63
_space_group_name_Hall '-C 2c 2'
loop_
_atom_site_label
_atom_site_fract_x
_atom_site_fract_y
_atom_site_fract_z
Ca1 0.0000 0.1641 0.2500
P1 0.0000 0.4069 0.0440
Pt1 0.0000 0.1078 0.7500
```

---

Record 18
Ca2PPt: PBEsol geometry, SCAN.

Calculated values
Calculated total energy in eV for the cell shown: -103.0
E_form in meV/atom: -759
Excess energy over the best structure of this formula in the dataset in kJ/mol of formula units: 145

Geometry as CIF:
```
data_Ca2PPt
_cell_length_a 4.0674
_cell_length_b 4.0674
_cell_length_c 5.7877
_cell_angle_alpha 90.00
_cell_angle_beta 90.00
_cell_angle_gamma 90.00
_space_group_name_H-M_alt 'P 4/m m m'
_space_group_IT_number 123
_space_group_name_Hall '-P 4 2'
loop_
_atom_site_label
_atom_site_fract_x
_atom_site_fract_y
_atom_site_fract_z
Ca1 0.0000 0.0000 0.0000
Ca2 0.5000 0.5000 0.5000
P1 0.0000 0.0000 0.5000
Pt1 0.5000 0.5000 0.0000
```

---

Record 19
CaReP2: PBEsol geometry, SCAN.

Calculated values
Calculated total energy in eV for the cell shown: -204.4
E_form in meV/atom: -159
Excess energy over the best structure of this formula in the dataset in kJ/mol of formula units: 111

Geometry as CIF:
```
data_CaReP2
_cell_length_a 4.2620
_cell_length_b 4.5915
_cell_length_c 6.2223
_cell_angle_alpha 90.00
_cell_angle_beta 90.00
_cell_angle_gamma 90.00
_space_group_name_H-M_alt 'I m m m'
_space_group_IT_number 71
_space_group_name_Hall '-I 2 2'
loop_
_atom_site_label
_atom_site_fract_x
_atom_site_fract_y
_atom_site_fract_z
Ca1 0.0000 0.0000 0.0000
Re1 0.0000 0.0000 0.5000
P1 0.0000 0.5000 0.2365
```

---

Record 20
CaRe2P: PBEsol geometry, SCAN.

Calculated values
Calculated total energy in eV for the cell shown: -160.3
E_form in meV/atom: 479

Geometry as CIF:
```
data_CaRe2P
_cell_length_a 2.8037
_cell_length_b 4.8693
_cell_length_c 4.7627
_cell_angle_alpha 90.00
_cell_angle_beta 91.50
_cell_angle_gamma 90.00
_space_group_name_H-M_alt 'P 1 2/m 1'
_space_group_IT_number 10
_space_group_name_Hall '-P 2y'
loop_
_atom_site_label
_atom_site_fract_x
_atom_site_fract_y
_atom_site_fract_z
Ca1 0.0000 0.0000 0.0000
Re1 0.3359 0.5000 0.7433
P1 0.5000 0.0000 0.5000
```

---

| no. | mass density (g/cm³) |
| --- | --- |
| 1 | 2.02 |
| 2 | 4.20 |
| 3 | 7.26 |
| 4 | 3.82 |
| 5 | 6.39 |
| 6 | 5.49 |
| 7 | 6.48 |
| 8 | 6.33 |
| 9 | 4.25 |
| 10 | 4.19 |
| 11 | 6.26 |
| 12 | 11.66 |
| 13 | 6.64 |
| 14 | 6.25 |
| 15 | 6.36 |
| 16 | 5.69 |
| 17 | 6.64 |
| 18 | 5.31 |
| 19 | 7.86 |
| 20 | 11.33 |